Entry 1:
Ba4Ga5AgSe12: relaxed, PBE.

Unit cell a=13.979 b=13.979 c=6.616 alpha=90.00 beta=90.00 gamma=90.00
Space group P-4 (No. 81)
Asymmetric unit:
1 Ba 0.024 0.287 0.034 x4
2 Ba 0.215 0.469 0.547 x4
3 Ga 0.000 0.000 0.500 x1
4 Ga 0.137 0.756 0.546 x4
5 Ga 0.255 0.635 0.051 x4
6 Ga 0.500 0.500 0.000 x1
7 Ag 0.000 0.500 0.304 x2
8 Se 0.003 0.347 0.538 x4
9 Se 0.084 0.895 0.738 x4
10 Se 0.142 0.505 0.032 x4
11 Se 0.193 0.784 0.202 x4
12 Se 0.283 0.688 0.702 x4
13 Se 0.395 0.581 0.239 x4

total DFT energy (no corrections)	-4.21	eV/atom


Entry 2:
BaGaAg2Se4: relaxed, PBE.

Unit cell a=7.180 b=7.212 c=8.293 alpha=90.00 beta=90.00 gamma=90.00
Space group I222 (No. 23)
Asymmetric unit:
1 Ba 0.000 0.000 0.000 x2
2 Ga 0.000 0.000 0.500 x2
3 Ag 0.000 0.500 0.237 x4
4 Se 0.197 0.197 0.332 x8

Fermi-level density of states	6.8	states/eV per cell
total DFT energy (no corrections)	-3.84	eV/atom


Entry 3:
Ba2GaAg6Sn: relaxed, PBE.

Unit cell a=7.283 b=7.435 c=10.393 alpha=90.00 beta=90.00 gamma=90.00
Space group Immm (No. 71)
Asymmetric unit:
1 Ba 0.000 0.000 0.250 x4
2 Ga 0.000 0.500 0.000 x2
3 Ag 0.000 0.500 0.240 x4
4 Ag 0.240 0.260 0.000 x8
5 Sn 0.000 0.500 0.500 x2

formation energy	-0.126	eV/atom
Fermi-level density of states	4.5	states/eV per cell


Entry 4:
BaGaAg2Sn: relaxed, PBE.

Unit cell a=4.695 b=4.811 c=11.440 alpha=90.00 beta=90.00 gamma=90.00
Space group Imm2 (No. 44)
Asymmetric unit:
1 Ba 0.000 0.000 0.000 x2
2 Ga 0.000 0.000 0.385 x2
3 Ag 0.000 0.000 0.616 x2
4 Ag 0.000 0.500 0.270 x2
5 Sn 0.000 0.500 0.748 x2

formation energy	-0.346	eV/atom
Fermi-level density of states	3.6	states/eV per cell